# 1
# CaSn2Br6

A geometry-optimized CaSn2Br6 structure (GGA-PBE, Alexandria).

```
9
Lattice="7.807 -2.173 0.000 7.807 2.173 0.000 -2.240 0.000 9.971" Properties=species:S:1:pos:R:3 pbc="T T T"
Ca 0.000 0.000 0.000
Sn 3.838 0.000 6.630
Sn 9.536 0.000 3.342
Br -0.352 0.000 2.884
Br 3.781 0.000 3.497
Br 3.618 0.000 9.577
Br 9.756 0.000 0.394
Br 9.593 0.000 6.474
Br 13.726 0.000 7.087
```

Computed properties:
formation energy without anion corrections	-114.7	kJ/mol of atoms
E above lowest polymorph	0.0	meV per atom

# 2
# Rb2BaInCl8

A geometry-optimized Rb2BaInCl8 structure (GGA-PBE, Alexandria).

```
12
Lattice="6.061 0.000 0.000 1.061 7.399 0.000 0.315 0.649 9.130" Properties=species:S:1:pos:R:3 pbc="T T T"
Rb 0.281 0.412 2.111
Rb 7.157 7.636 7.019
Ba 3.719 4.024 4.565
In 3.561 3.699 0.000
Cl 1.079 5.680 4.494
Cl 1.325 4.793 0.441
Cl 3.169 2.546 7.424
Cl 3.246 2.109 1.992
Cl 4.192 5.939 7.138
Cl 4.268 5.501 1.706
Cl 6.112 3.255 8.689
Cl 6.358 2.368 4.636
```

Computed properties:
formation energy without anion corrections	-151.4	kJ/mol of atoms